## 1
The following is a PBE calculation of a geometry-optimized CrMoAu2 structure, from Alexandria via LeMat-Bulk.

The structure in CIF format:
```
data_CrMoAu2
_space_group_name_H-M_alt 'R -3 m'
_space_group_IT_number 166
_space_group_name_Hall '-R 3 2"'
_cell_length_a 2.8914
_cell_length_b 2.8914
_cell_length_c 27.6351
_cell_angle_alpha 90.00
_cell_angle_beta 90.00
_cell_angle_gamma 120.00
loop_
_atom_site_label
_atom_site_type_symbol
_atom_site_fract_x
_atom_site_fract_y
_atom_site_fract_z
Cr1 Cr 0.0000 0.0000 0.0000
Mo1 Mo 0.0000 0.0000 0.5000
Au1 Au 0.0000 0.0000 0.2518
```

Summary:
crystal system = trigonal
mass density = 13.5 g/cm³

## 2
The following is a PBE calculation of a geometry-optimized CrMoAu2 structure, from Alexandria via LeMat-Bulk.

The structure in CIF format:
```
data_CrMoAu2
_space_group_name_H-M_alt 'R 3 m'
_space_group_IT_number 160
_space_group_name_Hall 'R 3 -2"'
_cell_length_a 2.8748
_cell_length_b 2.8748
_cell_length_c 27.7243
_cell_angle_alpha 90.00
_cell_angle_beta 90.00
_cell_angle_gamma 120.00
loop_
_atom_site_label
_atom_site_type_symbol
_atom_site_fract_x
_atom_site_fract_y
_atom_site_fract_z
Cr1 Cr 0.0000 0.0000 0.0000
Mo1 Mo 0.0000 0.0000 0.7413
Au1 Au 0.0000 0.0000 0.2522
Au2 Au 0.0000 0.0000 0.4944
```

Summary:
crystal system = trigonal
mass density = 13.6 g/cm³

Which one sits at the top of the stability order? 2 does.

## 1
The following is a PBE calculation of a geometry-optimized CrMo2Au2 structure, from Alexandria via LeMat-Bulk.

The structure in CIF format:
```
data_CrMo2Au2
_space_group_name_H-M_alt 'I 4/m m m'
_space_group_IT_number 139
_space_group_name_Hall '-I 4 2'
_cell_length_a 3.686
_cell_length_b 3.686
_cell_length_c 13.342
_cell_angle_alpha 90.00
_cell_angle_beta 90.00
_cell_angle_gamma 90.00
loop_
_atom_site_label
_atom_site_type_symbol
_atom_site_fract_x
_atom_site_fract_y
_atom_site_fract_z
Cr1 Cr 0.000 0.000 0.000
Mo1 Mo 0.000 0.000 0.417
Au1 Au 0.000 0.500 0.250
```

Summary:
crystal system = tetragonal
mass density = 11.7 g/cm³

## 2
The following is a PBE calculation of a geometry-optimized CrMo2Au2 structure, from Alexandria via LeMat-Bulk.

The structure in CIF format:
```
data_CrMo2Au2
_space_group_name_H-M_alt 'P 4/m b m'
_space_group_IT_number 127
_space_group_name_Hall '-P 4 2ab'
_cell_length_a 6.193
_cell_length_b 6.193
_cell_length_c 4.422
_cell_angle_alpha 90.00
_cell_angle_beta 90.00
_cell_angle_gamma 90.00
loop_
_atom_site_label
_atom_site_type_symbol
_atom_site_fract_x
_atom_site_fract_y
_atom_site_fract_z
Cr1 Cr 0.000 0.000 0.000
Mo1 Mo 0.144 0.356 0.000
Au1 Au 0.164 0.664 0.500
```

Summary:
crystal system = tetragonal
mass density = 12.5 g/cm³

Which one sits at the top of the stability order? 2 does.